Entry from OQMD via LeMat-Bulk: a relaxed GdDySi2W2C crystal (PBE-GGA). Values from VASP.

```
&SYSTEM
  ibrav = 0, nat = 7, ntyp = 5
/
ATOMIC_SPECIES
C 12.01 C.upf
Dy 162.50 Dy.upf
Gd 157.25 Gd.upf
Si 28.09 Si.upf
W 183.84 W.upf
CELL_PARAMETERS angstrom
5.552 -1.925 0.000
5.552 1.925 0.000
-4.136 0.000 5.835
ATOMIC_POSITIONS angstrom
C 6.969 0.000 5.823
Dy 1.814 0.000 4.108
Gd 5.155 0.000 1.735
Si 8.240 0.000 1.972
Si -1.275 0.000 3.869
W 1.958 0.000 0.483
W 5.008 0.000 5.348
```

Values from the calculation:
- Mass density: 10.1 g/cm³
- E_tot: -8.435 eV/atom